HoTm2Se (PBE, optimized geometry); energy above the most stable polymorph in this dataset = 121.7 meV per atom; magnetic moment = 0.00 μB per formula unit; DFT total energy = -4.92 eV/atom
1.0
3.559 0.000 0.000
0.000 3.559 0.000
0.000 0.000 8.418
Tm Se Ho
2 1 1
Cartesian
0.000 0.000 1.770
0.000 0.000 6.649
1.780 1.780 0.000
1.780 1.780 4.209

Cs3CaSb (PBE, optimized geometry); energy above the most stable polymorph in this dataset = 0.0 meV per atom; magnetic moment = 0.00 μB per formula unit; DFT total energy = -1.66 eV/atom
1.0
-5.520 -2.120 -4.626
1.302 -7.186 1.739
-4.919 0.476 5.651
Cs Ca Sb
3 1 1
Cartesian
-2.760 -1.060 -2.313
0.651 -3.593 0.869
-2.460 0.238 2.826
-4.568 -4.415 1.382
0.000 0.000 0.000

PrDy2Ga2Hg2 (PBE, optimized geometry); magnetic moment = 0.00 μB per formula unit; DFT total energy = -3.33 eV/atom; ΔE_f = -0.38 eV/atom
1.0
4.672 0.000 0.000
2.336 4.046 0.000
2.336 1.349 9.434
Dy Hg Ga Pr
2 2 2 1
Cartesian
2.336 1.349 5.767
7.007 4.046 3.668
4.672 2.697 7.552
4.672 2.697 1.883
7.007 4.046 7.019
2.336 1.349 2.415
0.000 0.000 0.000

Ac2Al4Ga3Cu (PBE, optimized geometry); magnetic moment = 0.00 μB per formula unit; DFT total energy = -4.07 eV/atom; ΔE_f = -0.44 eV/atom
1.0
4.467 0.000 0.000
0.000 4.467 0.000
0.000 0.000 10.690
Al Ga Cu Ac
4 3 1 2
Cartesian
0.000 0.000 0.000
2.233 2.233 0.000
0.000 2.233 4.066
2.233 0.000 6.623
0.000 2.233 1.459
2.233 0.000 9.231
0.000 0.000 5.345
2.233 2.233 5.345
2.233 0.000 2.753
0.000 2.233 7.937

- Which value of DFT total energy does entry 2 give?
  -1.66 eV/atom